(1)
VASP calculation (PBE-GGA) on CaAc2PaS6 after structural relaxation.

Summary:
ρ ... 5.22 g/cm3
Symmetry ... R3 (146)
VASP energy ... -64.1 eV for the cell shown

a = 7.562 Å, b = 7.562 Å, c = 7.562 Å
α = 58.05°, β = 58.05°, γ = 58.05°
Element x y z (fractional)
Ca 0.000 0.000 0.000
Ac 0.284 0.284 0.284
Ac 0.787 0.787 0.787
Pa 0.495 0.495 0.495
S 0.132 0.702 0.372
S 0.219 0.627 0.855
S 0.372 0.132 0.702
S 0.627 0.855 0.219
S 0.702 0.372 0.132
S 0.855 0.219 0.627

=====

(2)
VASP calculation (PBE-GGA) on Nb4AgSe2 after structural relaxation.

Summary:
ρ ... 6.70 g/cm3
Symmetry ... I4/mmm (139)
VASP energy ... -42.9 eV for the cell shown

a = 7.473 Å, b = 7.473 Å, c = 7.473 Å
α = 141.85°, β = 141.85°, γ = 55.06°
Element x y z (fractional)
Nb 0.000 0.500 0.500
Nb 0.204 0.204 0.000
Nb 0.500 0.000 0.500
Nb 0.796 0.796 0.000
Ag 0.000 0.000 0.000
Se 0.392 0.392 0.000
Se 0.608 0.608 0.000